La2CdAs after structural relaxation. Source: Alexandria, functional GGA-PBEsol.

Cell: 4.0073 4.8676 6.1913 Å, 113.15 108.88 90.00°
With the nearest neighbours (Å) after each atom.
Fractional coordinates of all 4 atoms:
As1 0.5147 0.5147 0.0293  2 Cd 2.93, 6 La 3.16-3.27
Cd1 0.2152 0.7152 0.4304  2 As 2.93, 4 La 3.21
La1 0.9981 0.9981 0.9963  4 As 3.16, 2 Cd 3.36, 2 La 3.43
La2 0.7720 0.2720 0.5440  4 Cd 3.21, 2 As 3.27, 4 La 3.43-3.54

calculated formation energy: -2.726 eV per formula unit



LaCdAs2 after structural relaxation. Source: Alexandria, functional GGA-PBEsol.

Cell: 5.0595 5.0595 5.0595 Å, 60.00 60.00 60.00°
With the nearest neighbours (Å) after each atom.
Fractional coordinates of all 4 atoms:
As1 0.0000 0.0000 0.0000  4 As 3.10, 4 La 3.10
As2 0.2500 0.2500 0.2500  4 Cd 3.10, 4 As 3.10
Cd1 0.5000 0.5000 0.5000  4 La 3.10, 4 As 3.10
La1 0.7500 0.7500 0.7500  4 Cd 3.10, 4 As 3.10

calculated formation energy: -1.313 eV per formula unit



LaCd2As after structural relaxation. Source: Alexandria, functional GGA-PBEsol.

Cell: 3.9039 3.9039 6.5330 Å, 90.00 90.00 90.00°
With the nearest neighbours (Å) after each atom.
Fractional coordinates of all 4 atoms:
As1 0.5000 0.5000 0.7361  1 Cd 2.94, 4 La 3.03
Cd1 0.0000 0.0000 0.0339  4 Cd 2.93, 1 La 3.20
Cd2 0.5000 0.5000 0.1862  4 Cd 2.93, 1 As 2.94
La1 0.0000 0.0000 0.5438  4 As 3.03, 2 Cd 3.20-3.33

calculated formation energy: -1.711 eV per formula unit



LaCd2AsSe after structural relaxation. Source: Alexandria, functional GGA-PBEsol.

Cell: 4.9850 4.9850 5.8606 Å, 90.00 90.00 90.00°
With the nearest neighbours (Å) after each atom.
Fractional coordinates of all 5 atoms:
As1 0.0000 0.0000 0.0000  4 Cd 2.49
Cd1 0.0000 0.5000 0.0000  2 As 2.49
Cd2 0.5000 0.0000 0.0000  2 As 2.49
Se1 0.5000 0.5000 0.5000  4 La 3.52, 8 Cd 3.85
La1 0.0000 0.0000 0.5000  2 As 2.93

uncorrected formation energy: -0.304 eV per atom



Li2CdAs after structural relaxation. Source: Alexandria, functional GGA-PBEsol.

Cell: 2.8557 3.8401 6.0653 Å, 90.00 90.00 90.00°
With the nearest neighbours (Å) after each atom.
Fractional coordinates of all 4 atoms:
As1 0.5000 0.5000 0.0000  8 Li 2.73, 2 As 2.86, 2 Cd 3.03
Cd1 0.5000 0.5000 0.5000  2 Cd 2.86, 8 Li 2.94, 2 As 3.03
Li1 0.0000 0.0000 0.7820  3 Li 2.64-2.86, 4 As 2.73, 4 Cd 2.94
Li2 0.0000 0.0000 0.2180  3 Li 2.64-2.86, 4 As 2.73, 4 Cd 2.94

calculated formation energy: -1.572 eV per formula unit



LiCdAs2 after structural relaxation. Source: Alexandria, functional GGA-PBEsol.

Cell: 3.6467 3.6467 5.6362 Å, 90.00 90.00 90.00°
With the nearest neighbours (Å) after each atom.
Fractional coordinates of all 4 atoms:
As1 0.0000 0.0000 0.0112  2 Cd 2.80-2.83, 4 As 2.84, 4 Li 2.95
As2 0.5000 0.5000 0.2230  1 Li 2.62, 4 As 2.84
Cd1 0.0000 0.0000 0.5084  6 As 2.80-3.04, 4 Li 2.94
Li1 0.5000 0.5000 0.7574  1 As 2.62, 4 Cd 2.94

calculated formation energy: -0.173 eV per formula unit



| no. | final energy (eV per atom) |
| --- | --- |
| 1 | -4.9305 |
| 2 | -4.5173 |
| 3 | -3.6395 |
| 4 | -3.6437 |
| 5 | -2.9522 |
| 6 | -3.3873 |